Entry A
Y (PBE, optimized geometry); volume = 33.1 Å³/atom; M_tot = 0.21 μB per formula unit; space-group type = No. 217
1.0
-6.2166 6.2166 6.2166
6.2166 -6.2166 6.2166
6.2166 6.2166 -6.2166
Y
29
direct
0.0000 0.0000 0.0000
0.0000 0.0000 0.6514
0.0000 0.1890 0.3747
0.0000 0.3747 0.1890
0.0000 0.4225 0.6881
0.0000 0.6514 0.0000
0.0000 0.6881 0.4225
0.1857 0.8110 0.8110
0.1890 0.0000 0.3747
0.1890 0.3747 0.0000
0.2656 0.5775 0.5775
0.3119 0.3119 0.7344
0.3119 0.7344 0.3119
0.3486 0.3486 0.3486
0.3747 0.0000 0.1890
0.3747 0.1890 0.0000
0.4225 0.0000 0.6881
0.4225 0.6881 0.0000
0.5775 0.2656 0.5775
0.5775 0.5775 0.2656
0.6253 0.6253 0.8143
0.6253 0.8143 0.6253
0.6514 0.0000 0.0000
0.6881 0.0000 0.4225
0.6881 0.4225 0.0000
0.7344 0.3119 0.3119
0.8110 0.1857 0.8110
0.8110 0.8110 0.1857
0.8143 0.6253 0.6253


Entry B
Y (PBE, optimized geometry); volume = 31.9 Å³/atom; M_tot = 0.01 μB per formula unit; space-group type = No. 152
1.0
3.5689 0.0000 0.0000
-1.7845 3.0908 0.0000
0.0000 0.0000 8.6870
Y
3
direct
0.0000 0.3401 0.1667
0.3401 0.0000 0.8333
0.6599 0.6599 0.5000


Stability ranking, top and bottom: entry B is the most stable and entry A is the least stable.


Entry A
YZr (PBE, optimized geometry); volume = 27.4 Å³/atom; M_tot = 0.01 μB per formula unit; space-group type = No. 25
1.0
5.3348 0.0000 0.0000
0.0000 6.9656 0.0000
0.0000 0.0000 5.9027
Y Zr
4 4
direct
0.0000 0.0000 0.0000
0.0000 0.2663 0.5208
0.0000 0.7337 0.5208
0.5000 0.0000 0.3608
0.0000 0.5000 0.0262
0.5000 0.2812 0.8587
0.5000 0.5000 0.3241
0.5000 0.7188 0.8587


Entry B
YZr (PBE, optimized geometry); volume = 27.2 Å³/atom; M_tot = 0.01 μB per formula unit; space-group type = No. 26
1.0
5.3564 0.0000 0.0000
0.0000 10.4100 0.0000
0.0000 0.0000 5.8565
Y Zr
6 6
direct
0.0000 0.0789 0.0000
0.0000 0.2584 0.5219
0.0000 0.7416 0.0219
0.0000 0.9211 0.5000
0.5000 0.2559 0.1591
0.5000 0.7441 0.6591
0.0000 0.4333 0.9944
0.0000 0.5667 0.4944
0.5000 0.0769 0.6689
0.5000 0.4290 0.6857
0.5000 0.5710 0.1857
0.5000 0.9231 0.1689


Entry C
YZr (PBE, optimized geometry); volume = 27.2 Å³/atom; M_tot = 0.07 μB per formula unit; space-group type = No. 59
1.0
3.3907 0.0000 0.0000
0.0000 5.3367 0.0000
0.0000 0.0000 6.0153
Y Zr
2 2
direct
0.2500 0.2500 0.0986
0.7500 0.7500 0.9014
0.2500 0.7500 0.4282
0.7500 0.2500 0.5718


Entry D
YZr (PBE, optimized geometry); volume = 27.3 Å³/atom; M_tot = 0.01 μB per formula unit; space-group type = No. 59
1.0
5.3353 0.0000 0.0000
0.0000 13.8538 0.0000
0.0000 0.0000 5.9114
Y Zr
8 8
direct
0.2500 0.0014 0.1798
0.2500 0.1303 0.6598
0.2500 0.3697 0.6598
0.2500 0.4986 0.1798
0.7500 0.5014 0.8202
0.7500 0.6303 0.3402
0.7500 0.8697 0.3402
0.7500 0.9986 0.8202
0.2500 0.2500 0.1562
0.2500 0.6412 0.6780
0.2500 0.7500 0.1427
0.2500 0.8588 0.6780
0.7500 0.1412 0.3220
0.7500 0.2500 0.8573
0.7500 0.3588 0.3220
0.7500 0.7500 0.8438


Stability ranking, top and bottom: entry D is the most stable and entry C is the least stable.


Entry A
YZr (PBE, optimized geometry); volume = 27.2 Å³/atom; M_tot = 0.01 μB per formula unit; space-group type = No. 59
1.0
5.3882 0.0000 0.0000
0.0000 6.8131 0.0000
0.0000 0.0000 11.8664
Y Zr
8 8
direct
0.2500 0.0027 0.0864
0.2500 0.2500 0.3409
0.2500 0.2500 0.8142
0.2500 0.4973 0.0864
0.7500 0.5027 0.9136
0.7500 0.7500 0.1858
0.7500 0.7500 0.6591
0.7500 0.9973 0.9136
0.2500 0.0013 0.5793
0.2500 0.4987 0.5793
0.2500 0.7500 0.3558
0.2500 0.7500 0.8222
0.7500 0.2500 0.1778
0.7500 0.2500 0.6442
0.7500 0.5013 0.4207
0.7500 0.9987 0.4207


Entry B
YZr (PBE, optimized geometry); volume = 27.3 Å³/atom; M_tot = 0.01 μB per formula unit; space-group type = No. 11
1.0
6.7937 0.0000 0.0000
0.0000 5.3749 0.0000
-1.6305 0.0000 8.9686
Y Zr
6 6
direct
0.1429 0.2500 0.0607
0.1987 0.7500 0.2878
0.3574 0.7500 0.9203
0.6426 0.2500 0.0797
0.8013 0.2500 0.7122
0.8571 0.7500 0.9393
0.0328 0.7500 0.6031
0.2967 0.2500 0.6947
0.4821 0.2500 0.3991
0.5179 0.7500 0.6009
0.7033 0.7500 0.3053
0.9672 0.2500 0.3969


Stability ranking, top and bottom: entry B is the most stable and entry A is the least stable.


Entry A
YZr (PBE, optimized geometry); volume = 27.3 Å³/atom; M_tot = 0.01 μB per formula unit; space-group type = No. 11
1.0
6.8174 0.0000 0.0000
0.0000 5.3827 0.0000
-1.7120 0.0000 8.9360
Y Zr
6 6
direct
0.0242 0.2500 0.1183
0.3092 0.7500 0.2404
0.4652 0.7500 0.8801
0.5348 0.2500 0.1199
0.6908 0.2500 0.7596
0.9758 0.7500 0.8817
0.1299 0.7500 0.5512
0.1870 0.2500 0.7538
0.3549 0.2500 0.4589
0.6451 0.7500 0.5411
0.8130 0.7500 0.2462
0.8701 0.2500 0.4488


Entry B
YZr (PBE, optimized geometry); volume = 27.1 Å³/atom; M_tot = 0.00 μB per formula unit; space-group type = No. 62
1.0
5.9179 0.0000 0.0000
0.0000 5.3800 0.0000
0.0000 0.0000 6.8176
Y Zr
4 4
direct
0.0904 0.2500 0.1257
0.4096 0.7500 0.6257
0.5904 0.2500 0.3743
0.9096 0.7500 0.8743
0.0702 0.2500 0.6226
0.4298 0.7500 0.1226
0.5702 0.2500 0.8774
0.9298 0.7500 0.3774


Entry C
YZr (PBE, optimized geometry); volume = 27.4 Å³/atom; M_tot = 0.01 μB per formula unit; space-group type = No. 187
1.0
6.9031 0.0000 0.0000
-3.4516 5.9783 0.0000
0.0000 0.0000 5.3204
Y Zr
4 4
direct
0.0000 0.0000 0.0000
0.3405 0.1702 0.5000
0.8298 0.1702 0.5000
0.8298 0.6595 0.5000
0.0299 0.5150 0.0000
0.3333 0.6667 0.5000
0.4850 0.5150 0.0000
0.4850 0.9701 0.0000


Entry D
YZr (PBE, optimized geometry); volume = 27.2 Å³/atom; M_tot = 0.03 μB per formula unit; space-group type = No. 38
1.0
5.3605 0.0000 0.0000
0.0000 8.6062 2.9470
0.0000 -8.6062 2.9470
Y Zr
5 5
direct
0.0000 0.0000 0.0000
0.0000 0.4169 0.6238
0.0000 0.6238 0.4169
0.5000 0.0611 0.2735
0.5000 0.2735 0.0611
0.0000 0.2035 0.7844
0.0000 0.7844 0.2035
0.5000 0.4814 0.8897
0.5000 0.6679 0.6679
0.5000 0.8897 0.4814


Stability ranking, top and bottom: entry A is the most stable and entry B is the least stable.